The following is a DFT calculation (GGA+U) of a relaxed structure of PaBeCoO6.

Values from the calculation:
Uncorrected energy: -7.33 eV/atom
N(E_F): 4.17 states/eV per cell

abc: 4.8016 4.8016 4.7168
angles: 90.00 90.00 120.00
Fractional positions:
Pa 0.0000 0.0000 0.0000
Be 0.6667 0.3333 0.5000
Co 0.3333 0.6667 0.5000
O 0.3633 0.0038 0.7174
O 0.3633 0.3595 0.2826
O 0.6405 0.0038 0.2826
O 0.6405 0.6367 0.7174
O 0.9962 0.3595 0.7174
O 0.9962 0.6367 0.2826